Below is a relaxed structure of CoReP2, with properties calculated at the PBE level.

SG   Cmmm (65)
Polymorph energy (0 for the lowest one)   535 meV per atom
Energy   -7.316 eV per atom
Energy relative to the elements   0.277 eV/atom

The structure in POSCAR format:
```
CoReP2
1.0
2.853 0.017 0.000
-1.275 2.552 0.000
0.000 0.000 7.199
Co P Re
1 2 1
direct
0.500 0.500 0.750
0.000 0.000 0.985
0.000 0.000 0.515
0.500 0.500 0.250
```